# ReAs2Cl, relaxed, DFT GGA-PBE
data_ReAs2Cl
_cell_length_a 3.2714
_cell_length_b 3.2714
_cell_length_c 23.8497
_cell_angle_alpha 90.00
_cell_angle_beta 90.00
_cell_angle_gamma 120.00
_space_group_name_H-M_alt 'R -3 m'
_space_group_IT_number 166
_space_group_name_Hall '-R 3 2"'
loop_
_atom_site_label
_atom_site_type_symbol
_atom_site_fract_x
_atom_site_fract_y
_atom_site_fract_z
_atom_site_occupancy
Re1 Re 0.0000 0.0000 0.0000 1
As1 As 0.0000 0.0000 0.2608 1
Cl1 Cl 0.0000 0.0000 0.5000 1
# Crystal system: trigonal
# Spin magnetization, μB/f.u.: 0.00
# Formation energy (no corrections), eV per formula unit: 0.22
# ΔE to the lowest computed polymorph, meV per atom: 0


# U2ZnSb4, relaxed, DFT GGA-PBE
data_U2ZnSb4
_cell_length_a 4.346
_cell_length_b 4.346
_cell_length_c 9.663
_cell_angle_alpha 90.00
_cell_angle_beta 90.00
_cell_angle_gamma 90.00
_space_group_name_H-M_alt 'P -4 m 2'
_space_group_IT_number 115
loop_
_space_group_symop_operation_xyz
'x,y,z'
'y,-x,-z'
'-x,-y,z'
'-y,x,-z'
'-x,y,z'
'-y,-x,-z'
'x,-y,z'
'y,x,-z'
loop_
_atom_site_label
_atom_site_type_symbol
_atom_site_fract_x
_atom_site_fract_y
_atom_site_fract_z
_atom_site_occupancy
U1 U 0.000 0.500 0.249 1
Zn1 Zn 0.500 0.500 0.000 1
Sb1 Sb 0.000 0.000 0.500 1
Sb2 Sb 0.000 0.500 0.834 1
Sb3 Sb 0.500 0.500 0.500 1
# Crystal system: tetragonal
# Spin magnetization, μB/f.u.: 5.19
# Formation energy (no corrections), eV per formula unit: -1.42


# Be3Ni4, relaxed, DFT GGA-PBE
data_Be3Ni4
_cell_length_a 2.585
_cell_length_b 2.585
_cell_length_c 19.473
_cell_angle_alpha 90.00
_cell_angle_beta 90.00
_cell_angle_gamma 90.00
_space_group_name_H-M_alt 'I 4/m m m'
_space_group_IT_number 139
_space_group_name_Hall '-I 4 2'
loop_
_atom_site_label
_atom_site_type_symbol
_atom_site_fract_x
_atom_site_fract_y
_atom_site_fract_z
_atom_site_occupancy
Be1 Be 0.000 0.000 0.000 1
Be2 Be 0.000 0.000 0.282 1
Ni1 Ni 0.000 0.000 0.156 1
Ni2 Ni 0.000 0.000 0.432 1
# Crystal system: tetragonal
# Formation energy, meV per atom: -277.4
# Spin magnetization, μB/f.u.: 0.00
# ΔE to the lowest computed polymorph, meV per atom: 10


# ZrHgTe4, relaxed, DFT GGA-PBE
data_ZrHgTe4
_cell_length_a 7.443
_cell_length_b 7.978
_cell_length_c 7.983
_cell_angle_alpha 112.14
_cell_angle_beta 102.30
_cell_angle_gamma 102.23
_space_group_name_H-M_alt 'P -1'
_space_group_IT_number 2
loop_
_space_group_symop_operation_xyz
'x,y,z'
'-x,-y,-z'
loop_
_atom_site_label
_atom_site_type_symbol
_atom_site_fract_x
_atom_site_fract_y
_atom_site_fract_z
_atom_site_occupancy
Zr1 Zr 0.250 0.000 0.001 1
Hg1 Hg 0.250 0.598 0.401 1
Te1 Te 0.029 0.241 0.893 1
Te2 Te 0.113 0.155 0.336 1
Te3 Te 0.387 0.664 0.843 1
Te4 Te 0.471 0.109 0.760 1
# Crystal system: triclinic
# Spin magnetization, μB/f.u.: 0.00
# Formation energy (no corrections), eV per formula unit: -2.52
# ΔE to the lowest computed polymorph, meV per atom: 0


# K3LaSe4O12, relaxed, DFT GGA-PBE
data_K3LaSe4O12
_cell_length_a 12.4470
_cell_length_b 12.4470
_cell_length_c 8.8176
_cell_angle_alpha 90.00
_cell_angle_beta 90.00
_cell_angle_gamma 120.00
_space_group_name_H-M_alt 'R 3 2'
_space_group_IT_number 155
_space_group_name_Hall 'R 3 2"'
loop_
_atom_site_label
_atom_site_type_symbol
_atom_site_fract_x
_atom_site_fract_y
_atom_site_fract_z
_atom_site_occupancy
K1 K 0.0000 0.5319 0.0000 1
La1 La 0.0000 0.0000 0.0000 1
Se1 Se 0.0000 0.0000 0.5000 1
Se2 Se 0.0000 0.4561 0.5000 1
O1 O 0.0000 0.5907 0.5000 1
O2 O 0.0000 0.8675 0.5000 1
O3 O 0.0176 0.1633 0.8268 1
# Crystal system: trigonal
# Spin magnetization, μB/f.u.: 0.03
# Formation energy (no corrections), eV per formula unit: -21.48


# Li2CrIr, relaxed, DFT GGA-PBE
data_Li2CrIr
_cell_length_a 3.535
_cell_length_b 3.535
_cell_length_c 8.771
_cell_angle_alpha 90.00
_cell_angle_beta 90.00
_cell_angle_gamma 90.00
_space_group_name_H-M_alt 'I 4/m m m'
_space_group_IT_number 139
_space_group_name_Hall '-I 4 2'
loop_
_atom_site_label
_atom_site_type_symbol
_atom_site_fract_x
_atom_site_fract_y
_atom_site_fract_z
_atom_site_occupancy
Li1 Li 0.000 0.500 0.250 1
Cr1 Cr 0.000 0.000 0.000 1
Ir1 Ir 0.000 0.000 0.500 1
# Crystal system: tetragonal
# Formation energy, meV per atom: 103.3
# Spin magnetization, μB/f.u.: 2.36
# ΔE to the lowest computed polymorph, meV per atom: 83


# Sm2LuCl, relaxed, DFT GGA-PBE
data_Sm2LuCl
_cell_length_a 3.6197
_cell_length_b 3.6197
_cell_length_c 30.4322
_cell_angle_alpha 90.00
_cell_angle_beta 90.00
_cell_angle_gamma 120.00
_space_group_name_H-M_alt 'R -3 m'
_space_group_IT_number 166
_space_group_name_Hall '-R 3 2"'
loop_
_atom_site_label
_atom_site_type_symbol
_atom_site_fract_x
_atom_site_fract_y
_atom_site_fract_z
_atom_site_occupancy
Sm1 Sm 0.0000 0.0000 0.2405 1
Lu1 Lu 0.0000 0.0000 0.0000 1
Cl1 Cl 0.0000 0.0000 0.5000 1
# Crystal system: trigonal
# Spin magnetization, μB/f.u.: 0.00
# Formation energy (no corrections), eV per formula unit: -2.61